Entry 1:
Entry from the Alexandria database: TlRu2IN after structural relaxation (PBE-GGA).

a b c (Å): 4.959 4.959 4.093
angles (deg): 90.00 90.00 90.00
Space group P4/mmm (No. 123)
One atom of each set of equivalent atoms:
Tl1 0.000 0.000 0.000 (multiplicity 1)
Ru1 0.000 0.500 0.500 (multiplicity 2)
I1 0.500 0.500 0.500 (multiplicity 1)
N1 0.500 0.500 0.000 (multiplicity 1)

Results
The calculation puts the theoretical density at 9031 kg/m³. For the formation energy from raw total energies, the calculation gives 1.811 eV/atom.

***

Entry 2:
Entry from the Alexandria database: TlRuI2N after structural relaxation (PBE-GGA).

a b c (Å): 5.803 5.803 3.774
angles (deg): 90.00 90.00 90.00
Space group P4/mmm (No. 123)
One atom of each set of equivalent atoms:
Tl1 0.000 0.000 0.000 (multiplicity 1)
Ru1 0.500 0.500 0.500 (multiplicity 1)
I1 0.000 0.500 0.500 (multiplicity 2)
N1 0.500 0.500 0.000 (multiplicity 1)

Results
The calculation puts the theoretical density at 7490 kg/m³. The calculation puts the offset from the most stable computed form at 0 meV per atom. For the formation energy from raw total energies, the calculation gives 0.132 eV/atom.

***

Entry 3:
Entry from the Alexandria database: TlRuI2N after structural relaxation (PBE-GGA).

a b c (Å): 6.179 6.179 4.017
angles (deg): 90.00 90.00 90.00
Space group P4/mmm (No. 123)
One atom of each set of equivalent atoms:
Tl1 0.000 0.000 0.000 (multiplicity 1)
Ru1 0.500 0.500 0.500 (multiplicity 1)
I1 0.000 0.500 0.000 (multiplicity 2)
N1 0.000 0.000 0.500 (multiplicity 1)

Results
The calculation puts the theoretical density at 6208 kg/m³. The calculation puts the offset from the most stable computed form at 1531 meV per atom. For the formation energy from raw total energies, the calculation gives 1.663 eV/atom.

***

Entry 4:
Entry from the Alexandria database: VRuIN2 after structural relaxation (PBE-GGA).

a b c (Å): 3.843 3.843 5.866
angles (deg): 90.00 90.00 90.00
Space group P4/mmm (No. 123)
One atom of each set of equivalent atoms:
V1 0.000 0.000 0.000 (multiplicity 1)
Ru1 0.500 0.500 0.500 (multiplicity 1)
I1 0.500 0.500 0.000 (multiplicity 1)
N1 0.000 0.500 0.500 (multiplicity 2)

Results
The calculation puts the theoretical density at 5884 kg/m³. The calculation puts the offset from the most stable computed form at 332 meV per atom. For the formation energy from raw total energies, the calculation gives 1.329 eV/atom.

***

Entry 5:
Entry from the Alexandria database: VRuI2N after structural relaxation (PBE-GGA).

a b c (Å): 5.395 5.395 3.589
angles (deg): 90.00 90.00 90.00
Space group P4/mmm (No. 123)
One atom of each set of equivalent atoms:
V1 0.000 0.000 0.000 (multiplicity 1)
Ru1 0.500 0.500 0.500 (multiplicity 1)
I1 0.000 0.500 0.000 (multiplicity 2)
N1 0.000 0.000 0.500 (multiplicity 1)

Results
The calculation puts the theoretical density at 6673 kg/m³. The calculation puts the offset from the most stable computed form at 0 meV per atom. For the formation energy from raw total energies, the calculation gives 0.768 eV/atom.

***

Entry 6:
Entry from the Alexandria database: VRuI2N after structural relaxation (PBE-GGA).

a b c (Å): 5.524 5.524 3.690
angles (deg): 90.00 90.00 90.00
Space group P4/mmm (No. 123)
One atom of each set of equivalent atoms:
V1 0.000 0.000 0.000 (multiplicity 1)
Ru1 0.500 0.500 0.500 (multiplicity 1)
I1 0.000 0.500 0.500 (multiplicity 2)
N1 0.500 0.500 0.000 (multiplicity 1)

Results
The calculation puts the theoretical density at 6191 kg/m³. The calculation puts the offset from the most stable computed form at 126 meV per atom. For the formation energy from raw total energies, the calculation gives 0.894 eV/atom.

***

Entry 7:
Entry from the Alexandria database: VRuIN2 after structural relaxation (PBE-GGA).

a b c (Å): 3.778 3.778 5.823
angles (deg): 90.00 90.00 90.00
Space group P4/mmm (No. 123)
One atom of each set of equivalent atoms:
V1 0.000 0.000 0.000 (multiplicity 1)
Ru1 0.500 0.500 0.500 (multiplicity 1)
I1 0.000 0.000 0.500 (multiplicity 1)
N1 0.000 0.500 0.000 (multiplicity 2)

Results
The calculation puts the theoretical density at 6133 kg/m³. The calculation puts the offset from the most stable computed form at 0 meV per atom. For the formation energy from raw total energies, the calculation gives 0.997 eV/atom.

***

Entry 8:
Entry from the Alexandria database: RuWIN2 after structural relaxation (PBE-GGA).

a b c (Å): 3.887 3.887 5.833
angles (deg): 90.00 90.00 90.00
Space group P4/mmm (No. 123)
One atom of each set of equivalent atoms:
Ru1 0.000 0.000 0.000 (multiplicity 1)
W1 0.500 0.500 0.500 (multiplicity 1)
I1 0.000 0.000 0.500 (multiplicity 1)
N1 0.000 0.500 0.000 (multiplicity 2)

Results
The calculation puts the theoretical density at 8287 kg/m³. The calculation puts the offset from the most stable computed form at 760 meV per atom. For the formation energy from raw total energies, the calculation gives 1.828 eV/atom.

***

Entry 9:
Entry from the Alexandria database: RuWIN2 after structural relaxation (PBE-GGA).

a b c (Å): 3.911 3.911 5.878
angles (deg): 90.00 90.00 90.00
Space group P4/mmm (No. 123)
One atom of each set of equivalent atoms:
Ru1 0.000 0.000 0.000 (multiplicity 1)
W1 0.500 0.500 0.500 (multiplicity 1)
I1 0.500 0.500 0.000 (multiplicity 1)
N1 0.000 0.500 0.500 (multiplicity 2)

Results
The calculation puts the theoretical density at 8124 kg/m³. The calculation puts the offset from the most stable computed form at 0 meV per atom. For the formation energy from raw total energies, the calculation gives 1.068 eV/atom.

***

Entry 10:
Entry from the Alexandria database: YRuI2N after structural relaxation (PBE-GGA).

a b c (Å): 5.665 5.665 3.735
angles (deg): 90.00 90.00 90.00
Space group P4/mmm (No. 123)
One atom of each set of equivalent atoms:
Y1 0.000 0.000 0.000 (multiplicity 1)
Ru1 0.500 0.500 0.500 (multiplicity 1)
I1 0.000 0.500 0.500 (multiplicity 2)
N1 0.500 0.500 0.000 (multiplicity 1)

Results
The calculation puts the theoretical density at 6342 kg/m³. The calculation puts the offset from the most stable computed form at 0 meV per atom. For the formation energy from raw total energies, the calculation gives 0.026 eV/atom.

***

Entry 11:
Entry from the Alexandria database: YRu2IN after structural relaxation (PBE-GGA).

a b c (Å): 5.117 5.117 6.024
angles (deg): 90.00 90.00 90.00
Space group P4/mmm (No. 123)
One atom of each set of equivalent atoms:
Y1 0.000 0.000 0.000 (multiplicity 1)
Ru1 0.000 0.500 0.000 (multiplicity 2)
I1 0.000 0.000 0.500 (multiplicity 1)
N1 0.500 0.500 0.500 (multiplicity 1)

Results
The calculation puts the theoretical density at 4548 kg/m³. For the formation energy from raw total energies, the calculation gives 2.323 eV/atom.

***

Entry 12:
Entry from the Alexandria database: YRuI2N after structural relaxation (PBE-GGA).

a b c (Å): 6.123 6.123 4.088
angles (deg): 90.00 90.00 90.00
Space group P4/mmm (No. 123)
One atom of each set of equivalent atoms:
Y1 0.000 0.000 0.000 (multiplicity 1)
Ru1 0.500 0.500 0.500 (multiplicity 1)
I1 0.000 0.500 0.000 (multiplicity 2)
N1 0.000 0.000 0.500 (multiplicity 1)

Results
The calculation puts the theoretical density at 4960 kg/m³. The calculation puts the offset from the most stable computed form at 638 meV per atom. For the formation energy from raw total energies, the calculation gives 0.664 eV/atom.